# 1
This record from the Alexandria database describes a crystal of Nb3GeTe relaxed with PBEsol. The functional is meta-GGA SCAN.

a = 4.9676 Å, b = 4.9676 Å, c = 4.9676 Å
α = 90.00°, β = 90.00°, γ = 90.00°
Last column: nearest neighbours and their distance in Å.
Space group Pm-3m (No. 221)
Inequivalent atoms, fractional coordinates:
Nb (0.0000, 0.0000, 0.5000) x3  2 Te 2.48
Ge (0.5000, 0.5000, 0.5000) x1  12 Nb 3.51
Te (0.0000, 0.0000, 0.0000) x1  6 Nb 2.48

Summary:
Formation energy (no corrections) ... 1.480 eV per atom
Calculated total energy ... -29.665 eV per atom

---

# 2
This record from the Alexandria database describes a crystal of Co3Ir relaxed with PBEsol. The functional is meta-GGA SCAN.

a = 4.4291 Å, b = 8.1674 Å, c = 5.0520 Å
α = 90.00°, β = 90.00°, γ = 90.00°
Last column: nearest neighbours and their distance in Å.
Space group Pnma (No. 62)
Inequivalent atoms, fractional coordinates:
Co (0.0804, 0.2500, 0.1286) x4  8 Co 2.48-2.54, 4 Ir 2.49-2.56
Co (0.2452, 0.5028, 0.8735) x8  9 Co 2.48-2.59, 3 Ir 2.50-2.54
Ir (0.0779, 0.2500, 0.6210) x4  10 Co 2.49-2.56, 2 Ir 2.57

Summary:
Calculated total energy ... -30.744 eV per atom

---

The following N(E_F) values (in states/eV per atom) correspond, in order, to the records above: 1.368; 0.740.
The following magnetic moment values (in μB/cell) correspond, in order, to the records above: 0.000; 24.124.
The following calculated density values (in g/cm3) correspond, in order, to the records above: 6.5; 13.4.